# 1
First-principles (PBE) data for a relaxed structure of GaMoC2, as listed in the Alexandria database.

Output
- Formation energy from the elements: 619 meV per atom

```
data_GaMoC2
_symmetry_space_group_name_H-M 'I -4 2 d'
_symmetry_Int_Tables_number 122
_symmetry_space_group_name_Hall 'I -4 2bw'
_cell_length_a 4.763
_cell_length_b 4.763
_cell_length_c 9.252
_cell_angle_alpha 90.00
_cell_angle_beta 90.00
_cell_angle_gamma 90.00
loop_
_atom_site_label
_atom_site_type_symbol
_atom_site_fract_x
_atom_site_fract_y
_atom_site_fract_z
Ga1 Ga 0.000 0.000 0.000
Mo1 Mo 0.000 0.000 0.500
C1 C 0.237 0.250 0.625
```

---

# 2
First-principles (PBE) data for a relaxed structure of Pm2ErNpO8, as listed in the Alexandria database.

Output
- Energy relative to the elements, uncorrected: -37.8 eV per formula unit

```
data_Pm2ErNpO8
_symmetry_space_group_name_H-M 'P 1 2/m 1'
_symmetry_Int_Tables_number 10
_cell_length_a 3.905
_cell_length_b 7.521
_cell_length_c 5.502
_cell_angle_alpha 90.00
_cell_angle_beta 94.30
_cell_angle_gamma 90.00
loop_
_symmetry_equiv_pos_as_xyz
'x,y,z'
'-x,-y,-z'
'-x,y,-z'
'x,-y,z'
loop_
_atom_site_label
_atom_site_type_symbol
_atom_site_fract_x
_atom_site_fract_y
_atom_site_fract_z
Pm1 Pm 0.000 0.241 0.000
Er1 Er 0.500 0.000 0.500
Np1 Np 0.500 0.500 0.500
O1 O 0.008 0.000 0.255
O2 O 0.050 0.500 0.281
O3 O 0.469 0.277 0.730
```